Here is FeSnH2 at its PBEsol-relaxed geometry from Alexandria via LeMat-Bulk. Energies are from meta-GGA SCAN.

Cell lengths 3.808, 3.808, 5.995 Å; angles 108.52, 108.52, 90.00 degrees
Fractional positions:
H 0.625 0.375 0.750
H 0.125 0.375 0.750
H 0.625 0.875 0.250
H 0.625 0.375 0.250
Sn 0.000 0.000 0.000
Sn 0.250 0.750 0.500
Fe 0.500 0.500 0.000
Fe 0.750 0.250 0.500

**Total magnetic moment**: 0.00 μB per formula unit
**Space-group type**: No. 141
**Density**: 7551 kg/m3
**E_tot**: -14.68 eV per atom
**V**: 9.71 Å³ per atom